Crystalline TaGeSb3 at its relaxed geometry, computed with GGA-PBEsol.

Results
- Spin magnetization: 0.00 μB per atom
- Formation energy (no corrections): 66.19 kJ/mol of atoms

Cell and atoms, written as POSCAR:
```
TaGeSb3
1.0
5.281 0.000 0.000
0.000 5.281 0.000
0.000 0.000 5.281
Sb Ge Ta
3 1 1
Direct
0.000 0.500 0.000
0.000 0.000 0.500
0.500 0.000 0.000
0.500 0.500 0.500
0.000 0.000 0.000
```